AsBrCl | PBE | optimized geometry

a b c (Å): 3.6943 7.7981 14.8565
angles (deg): 90.00 90.00 90.00
Closest atoms and distances in Å follow each position.
Space group Fmm2 (No. 42)
Inequivalent atoms, fractional coordinates:
As  0.0000  0.0000  0.0000 [4 per cell]  2 Cl 2.52, 2 Br 2.63
Br  0.0000  0.0000  0.6264 [4 per cell]  2 As 2.63
Cl  0.0000  0.0000  0.3847 [4 per cell]  2 As 2.52

Values from the calculation:
offset from the most stable computed form = 313 meV per atom
formation energy from raw total energies = -0.175 eV per atom
size of the total moment = 0.683 μB per formula unit
DOS at the Fermi energy = 5.3 states/eV per cell

NdY6Se8 | PBE | optimized geometry

a b c (Å): 11.1926 11.1926 12.7427
angles (deg): 90.00 90.00 120.00
Closest atoms and distances in Å follow each position.
Space group R-3 (No. 148, hexagonal axes)
Inequivalent atoms, fractional coordinates:
Nd  0.0000  0.0000  0.0000 [3 per cell]  2 Se 2.95
Y  0.0160  0.1946  0.3843 [18 per cell]  5 Se 2.78-3.05
Se  0.0000  0.0000  0.2312 [6 per cell]  3 Y 2.86, 1 Nd 2.95
Se  0.0166  0.3949  0.2552 [18 per cell]  4 Y 2.78-3.05

Values from the calculation:
offset from the most stable computed form = 344 meV per atom
formation energy from raw total energies = -1.497 eV per atom
size of the total moment = 0.377 μB per formula unit
DOS at the Fermi energy = 36.4 states/eV per cell

Li7Cd4Ir | PBE | optimized geometry

a b c (Å): 13.4681 4.7943 7.2594
angles (deg): 90.00 116.31 90.00
Closest atoms and distances in Å follow each position.
Space group C2/m (No. 12)
Inequivalent atoms, fractional coordinates:
Li  0.0000  0.0000  0.0000 [2 per cell]  2 Ir 2.40, 2 Cd 2.56
Li  0.0649  0.5000  0.3940 [4 per cell]  1 Ir 2.59, 2 Li 2.73-2.79, 2 Cd 2.80
Li  0.1966  0.5000  0.8458 [4 per cell]  1 Li 2.56, 2 Cd 2.79
Li  0.1992  0.5000  0.2011 [4 per cell]  1 Ir 2.42, 1 Li 2.56
Cd  0.0790  0.0000  0.7375 [4 per cell]  4 Li 2.56-2.82
Cd  0.1710  0.0000  0.3867 [4 per cell]  7 Li 2.72-2.95
Ir  0.0000  0.5000  0.0000 [2 per cell]  6 Li 2.40-2.59

Values from the calculation:
energy = -52.76 eV for the cell shown
size of the total moment = 0.000 μB per formula unit
DOS at the Fermi energy = 8.6 states/eV per cell

> Number 2 is which compound?

NdY6Se8

> Which value of DOS at the Fermi energy does entry 3 give?

8.6 states/eV per cell

> The lowest size of the total moment belongs to which entry?

Li7Cd4Ir